No. 1
A plane-wave DFT calculation with SCAN was carried out for a crystal of Y2IrO relaxed with PBEsol.

Computed properties:
Energy relative to the elements, uncorrected (kJ/mol of formula units): -696
E (eV per atom): -35.06
Magnetization (μB per formula unit): 0.000
N(E_F) (states/eV/atom): 0.43

abc: 5.920 5.920 5.920
angles: 100.51 114.13 114.13
Fractional positions:
Y  0.435  0.875  0.810
O  0.500  0.250  0.750
Ir  0.500  0.750  0.250
Y  0.565  0.375  0.440
O  0.000  0.500  0.500
Ir  0.000  0.000  0.000
Y  0.065  0.190  0.625
Y  0.935  0.560  0.125

No. 2
A plane-wave DFT calculation with SCAN was carried out for a crystal of YIrO2 relaxed with PBEsol.

Computed properties:
Energy relative to the elements, uncorrected (kJ/mol of formula units): -750
E (eV per atom): -29.79
Magnetization (μB per formula unit): 0.985
N(E_F) (states/eV/atom): 0.64

abc: 3.370 3.370 6.385
angles: 74.70 74.70 60.00
Each line ends with the local moment (μB).
Fractional positions:
Y  0.500  0.500  0.500  0.01
O  0.891  0.891  0.326  0.06
O  0.109  0.109  0.674  0.06
Ir  0.000  0.000  0.000  0.87

No. 3
A plane-wave DFT calculation with SCAN was carried out for a crystal of Y3IrO relaxed with PBEsol.

Computed properties:
Energy relative to the elements, uncorrected (kJ/mol of formula units): -110
E (eV per atom): -32.40
Magnetization (μB per formula unit): 0.000
N(E_F) (states/eV/atom): 0.63

abc: 5.267 5.267 5.267
angles: 90.00 90.00 90.00
Fractional positions:
Ir  0.000  0.000  0.000
Y  0.000  0.000  0.500
O  0.500  0.500  0.500
Y  0.500  0.000  0.000
Y  0.000  0.500  0.000

Question: What is the energy relative to the elements, uncorrected in the third record?
Answer: -110 kJ/mol of formula units